(1)
{
  "formula": "Zr2ZnCl",
  "functional": "GGA-PBEsol",
  "state": "optimized geometry",
  "sg": "No. 123",
  "formation_energy_uncorrected_kj_per_mol_atoms": -30,
  "lattice_angstrom": [[4.849, 0.000, 0.000], [0.000, 4.849, 0.000], [0.000, 0.000, 3.010]],
  "species": ["Zr", "Zr", "Zn", "Cl"],
  "frac_coords": [[0.000, 0.500, 0.000], [0.500, 0.000, 0.000], [0.000, 0.000, 0.500], [0.500, 0.500, 0.500]]
}

(2)
{
  "formula": "ZnTePb",
  "functional": "GGA-PBEsol",
  "state": "optimized geometry",
  "sg": "No. 156",
  "formation_energy_uncorrected_kj_per_mol_atoms": 16,
  "lattice_angstrom": [[5.218, 0.000, 0.000], [-2.609, 4.519, 0.000], [0.000, 0.000, 3.201]],
  "species": ["Zn", "Te", "Pb"],
  "frac_coords": [[0.000, 0.000, 0.000], [0.667, 0.333, 0.080], [0.333, 0.667, 0.537]]
}

(3)
{
  "formula": "BaCdTc",
  "functional": "GGA-PBEsol",
  "state": "optimized geometry",
  "sg": "No. 44",
  "e_form_ev_per_atom": 0.72,
  "lattice_angstrom": [[3.074, 0.000, 0.000], [0.000, 4.205, 0.000], [0.000, 0.000, 11.419]],
  "species": ["Ba", "Ba", "Cd", "Cd", "Tc", "Tc"],
  "frac_coords": [[0.000, 0.000, 0.000], [0.500, 0.500, 0.500], [0.000, 0.000, 0.716], [0.500, 0.500, 0.216], [0.000, 0.000, 0.298], [0.500, 0.500, 0.798]]
}

(4)
{
  "formula": "RbHN2F",
  "functional": "GGA-PBEsol",
  "state": "optimized geometry",
  "sg": "No. 123",
  "e_tot_ha_per_atom": -0.133,
  "lattice_angstrom": [[3.355, 0.000, 0.000], [0.000, 3.355, 0.000], [0.000, 0.000, 5.991]],
  "species": ["Rb", "H", "N", "N", "F"],
  "frac_coords": [[0.000, 0.000, 0.000], [0.500, 0.500, 0.500], [0.000, 0.500, 0.500], [0.500, 0.000, 0.500], [0.500, 0.500, 0.000]]
}

(5)
{
  "formula": "ScPtSe3",
  "functional": "GGA-PBEsol",
  "state": "optimized geometry",
  "sg": "No. 221",
  "formation_energy_uncorrected_kj_per_mol_atoms": -13,
  "lattice_angstrom": [[4.872, 0.000, 0.000], [0.000, 4.872, 0.000], [0.000, 0.000, 4.872]],
  "species": ["Sc", "Pt", "Se", "Se", "Se"],
  "frac_coords": [[0.000, 0.000, 0.000], [0.500, 0.500, 0.500], [0.000, 0.500, 0.500], [0.500, 0.000, 0.500], [0.500, 0.500, 0.000]]
}

(6)
{
  "formula": "RbCrSnN2",
  "functional": "GGA-PBEsol",
  "state": "optimized geometry",
  "sg": "No. 123",
  "formation_energy_uncorrected_kj_per_mol_atoms": 130,
  "lattice_angstrom": [[4.068, 0.000, 0.000], [0.000, 4.068, 0.000], [0.000, 0.000, 5.337]],
  "species": ["Rb", "Cr", "Sn", "N", "N"],
  "frac_coords": [[0.000, 0.000, 0.000], [0.000, 0.000, 0.500], [0.500, 0.500, 0.000], [0.000, 0.500, 0.500], [0.500, 0.000, 0.500]]
}

(7)
{
  "formula": "TcMoRh2",
  "functional": "GGA-PBEsol",
  "state": "optimized geometry",
  "sg": "No. 139",
  "e_form_ev_per_atom": -0.16,
  "lattice_angstrom": [[3.785, 0.000, 0.000], [0.000, 3.785, 0.000], [0.000, 0.000, 7.759]],
  "species": ["Tc", "Tc", "Mo", "Mo", "Rh", "Rh", "Rh", "Rh"],
  "frac_coords": [[0.000, 0.000, 0.000], [0.500, 0.500, 0.500], [0.000, 0.000, 0.500], [0.500, 0.500, 0.000], [0.000, 0.500, 0.250], [0.000, 0.500, 0.750], [0.500, 0.000, 0.250], [0.500, 0.000, 0.750]]
}

(8)
{
  "formula": "Ba2Y2CuPtO8",
  "functional": "GGA-PBEsol",
  "state": "optimized geometry",
  "sg": "No. 62",
  "formation_energy_uncorrected_kj_per_mol_atoms": -225,
  "lattice_angstrom": [[13.135, 0.000, 0.000], [0.000, 5.656, 0.000], [0.000, 0.000, 10.280]],
  "species": ["Ba", "Ba", "Ba", "Ba", "Ba", "Ba", "Ba", "Ba", "Y", "Y", "Y", "Y", "Y", "Y", "Y", "Y", "Cu", "Cu", "Cu", "Cu", "Pt", "Pt", "Pt", "Pt", "O", "O", "O", "O", "O", "O", "O", "O", "O", "O", "O", "O", "O", "O", "O", "O", "O", "O", "O", "O", "O", "O", "O", "O", "O", "O", "O", "O", "O", "O", "O", "O"],
  "frac_coords": [[0.077, 0.250, 0.091], [0.208, 0.750, 0.313], [0.292, 0.250, 0.813], [0.423, 0.750, 0.591], [0.577, 0.250, 0.409], [0.708, 0.750, 0.187], [0.792, 0.250, 0.687], [0.923, 0.750, 0.909], [0.084, 0.250, 0.486], [0.142, 0.750, 0.686], [0.358, 0.250, 0.186], [0.416, 0.750, 0.986], [0.584, 0.250, 0.014], [0.642, 0.750, 0.814], [0.858, 0.250, 0.314], [0.916, 0.750, 0.514], [0.039, 0.250, 0.767], [0.461, 0.750, 0.267], [0.539, 0.250, 0.733], [0.961, 0.750, 0.233], [0.193, 0.750, 0.966], [0.307, 0.250, 0.466], [0.693, 0.750, 0.534], [0.807, 0.250, 0.034], [0.007, 0.007, 0.637], [0.007, 0.493, 0.637], [0.087, 0.750, 0.107], [0.113, 0.507, 0.860], [0.113, 0.993, 0.860], [0.204, 0.250, 0.314], [0.218, 0.009, 0.556], [0.218, 0.491, 0.556], [0.282, 0.509, 0.056], [0.282, 0.991, 0.056], [0.296, 0.750, 0.814], [0.387, 0.007, 0.360], [0.387, 0.493, 0.360], [0.413, 0.250, 0.607], [0.493, 0.507, 0.137], [0.493, 0.993, 0.137], [0.507, 0.007, 0.863], [0.507, 0.493, 0.863], [0.587, 0.750, 0.393], [0.613, 0.507, 0.640], [0.613, 0.993, 0.640], [0.704, 0.250, 0.186], [0.718, 0.009, 0.944], [0.718, 0.491, 0.944], [0.782, 0.509, 0.444], [0.782, 0.991, 0.444], [0.796, 0.750, 0.686], [0.887, 0.007, 0.140], [0.887, 0.493, 0.140], [0.913, 0.250, 0.893], [0.993, 0.507, 0.363], [0.993, 0.993, 0.363]]
}

Number 1: M_tot 0.000 μB/atom. Number 2: M_tot 0.000 μB/atom. Number 3: M_tot 0.000 μB/atom. Number 4: M_tot 0.443 μB/atom. Number 5: M_tot 0.000 μB/atom. Number 6: M_tot 0.350 μB/atom. Number 7: M_tot 0.000 μB/atom. Number 8: M_tot 0.075 μB/atom.